Below is a relaxed structure of SrCrCoF6, with properties calculated at the PBE with a Hubbard U level.

Lattice parameters (Å, degrees): 5.1095 5.1095 10.3166 90.00 90.00 90.00
Last column: magnetic moment on the atom in μB.
Atoms (fractional coordinates):
Sr: 0.5000 0.5000 0.5008  0.00
Sr: 0.0000 0.0000 0.0008  0.00
Cr: 0.5000 0.5000 0.8344  8.04
Cr: 0.0000 0.0000 0.3344  8.04
Co: 0.5000 0.5000 0.1675  2.77
Co: 0.0000 0.0000 0.6675  2.77
F: 0.1746 0.8254 0.5083  0.03
F: 0.8254 0.1746 0.5083  0.03
F: 0.3254 0.3254 0.0083  0.03
F: 0.6746 0.6746 0.0083  0.03
F: 0.2189 0.7811 0.1778  0.03
F: 0.7811 0.2189 0.1778  0.03
F: 0.2811 0.2811 0.6778  0.03
F: 0.7189 0.7189 0.6778  0.03
F: 0.7922 0.2078 0.8126  0.01
F: 0.2078 0.7922 0.8126  0.01
F: 0.7078 0.7078 0.3126  0.01
F: 0.2922 0.2922 0.3126  0.01

Properties
- Space group: P4_2nm
- Theoretical density: 3.85 g/cm³
- VASP energy: -8.237 eV/atom